1.
# Tb3CeY6, relaxed, DFT PBE
data_Tb3CeY6
_space_group_name_H-M_alt 'P 1'
_space_group_IT_number 1
_cell_length_a 9.422
_cell_length_b 9.422
_cell_length_c 7.478
_cell_angle_alpha 90.01
_cell_angle_beta 90.00
_cell_angle_gamma 90.00
loop_
_space_group_symop_operation_xyz
'x,y,z'
loop_
_atom_site_label
_atom_site_fract_x
_atom_site_fract_y
_atom_site_fract_z
_atom_site_occupancy
Tb1 0.672 0.171 0.250 1
Y1 0.623 0.872 0.999 1
Tb2 0.172 0.329 0.250 1
Y2 0.628 0.876 0.501 1
Tb3 0.000 0.000 0.500 1
Y3 0.877 0.372 0.499 1
Tb4 0.328 0.829 0.750 1
Y4 0.872 0.376 0.001 1
Y5 0.828 0.673 0.250 1
Y6 0.372 0.124 0.499 1
Tb5 0.828 0.671 0.750 1
Y7 0.377 0.128 0.001 1
Tb6 0.500 0.500 0.000 1
Y8 0.328 0.827 0.250 1
Y9 0.172 0.327 0.750 1
Y10 0.672 0.173 0.750 1
Y11 0.128 0.624 0.999 1
Ce1 0.500 0.500 0.500 1
Y12 0.123 0.628 0.501 1
Ce2 0.000 0.000 0.000 1
# * ΔE to the lowest computed polymorph: 0.0 meV per atom
# * total magnetization: 0.13 μB/atom
# * SG: P2_1/c
# * energy: -0.210 Ha/atom
# * calculated formation energy: 0.143 eV per atom
# * N(E_F): 1.60 states/eV per atom

2.
# PrDyNiPd, relaxed, DFT PBE
data_PrDyNiPd
_space_group_name_H-M_alt 'P 1'
_space_group_IT_number 1
_cell_length_a 3.854
_cell_length_b 4.503
_cell_length_c 5.561
_cell_angle_alpha 90.00
_cell_angle_beta 110.28
_cell_angle_gamma 90.00
loop_
_space_group_symop_operation_xyz
'x,y,z'
loop_
_atom_site_label
_atom_site_fract_x
_atom_site_fract_y
_atom_site_fract_z
_atom_site_occupancy
Pd1 0.575 0.500 0.151 1
Dy1 0.864 0.500 0.728 1
Pr1 0.142 0.000 0.284 1
Ni1 0.418 0.000 0.837 1
# * ΔE to the lowest computed polymorph: 0.0 meV per atom
# * total magnetization: 0.00 μB/atom
# * SG: Amm2
# * energy: -0.209 Ha/atom
# * calculated formation energy: -0.586 eV per atom
# * N(E_F): 0.60 states/eV per atom

3.
# Y3TiAu, relaxed, DFT PBE
data_Y3TiAu
_space_group_name_H-M_alt 'P 1'
_space_group_IT_number 1
_cell_length_a 5.504
_cell_length_b 5.504
_cell_length_c 5.504
_cell_angle_alpha 90.00
_cell_angle_beta 90.00
_cell_angle_gamma 90.00
loop_
_space_group_symop_operation_xyz
'x,y,z'
loop_
_atom_site_label
_atom_site_fract_x
_atom_site_fract_y
_atom_site_fract_z
_atom_site_occupancy
Y1 0.500 0.000 0.000 1
Au1 0.000 0.000 0.000 1
Y2 0.000 0.000 0.500 1
Y3 0.000 0.500 0.000 1
Ti1 0.500 0.500 0.500 1
# * ΔE to the lowest computed polymorph: 0.0 meV per atom
# * total magnetization: 0.71 μB/atom
# * SG: Pm-3m
# * energy: -0.213 Ha/atom
# * calculated formation energy: 0.308 eV per atom
# * N(E_F): 2.15 states/eV per atom

4.
# CdHg2HPd, relaxed, DFT PBE
data_CdHg2HPd
_space_group_name_H-M_alt 'P 1'
_space_group_IT_number 1
_cell_length_a 5.034
_cell_length_b 5.034
_cell_length_c 3.452
_cell_angle_alpha 90.00
_cell_angle_beta 90.00
_cell_angle_gamma 90.00
loop_
_space_group_symop_operation_xyz
'x,y,z'
loop_
_atom_site_label
_atom_site_fract_x
_atom_site_fract_y
_atom_site_fract_z
_atom_site_occupancy
H1 0.000 0.000 0.000 1
Hg1 0.500 0.000 0.000 1
Cd1 0.500 0.500 0.500 1
Pd1 0.000 0.000 0.500 1
Hg2 0.000 0.500 0.000 1
# * ΔE to the lowest computed polymorph: 39.7 meV per atom
# * total magnetization: 0.00 μB/atom
# * SG: P4/mmm
# * energy: -0.070 Ha/atom
# * N(E_F): 0.32 states/eV per atom

5.
# Ag6TeSCl2, relaxed, DFT PBE
data_Ag6TeSCl2
_space_group_name_H-M_alt 'P 1'
_space_group_IT_number 1
_cell_length_a 6.899
_cell_length_b 6.760
_cell_length_c 10.268
_cell_angle_alpha 90.00
_cell_angle_beta 87.61
_cell_angle_gamma 90.00
loop_
_space_group_symop_operation_xyz
'x,y,z'
loop_
_atom_site_label
_atom_site_fract_x
_atom_site_fract_y
_atom_site_fract_z
_atom_site_occupancy
Te1 0.500 0.000 0.000 1
Cl1 0.959 0.988 0.252 1
Ag1 0.335 0.694 0.421 1
Cl2 0.459 0.512 0.752 1
Cl3 0.541 0.488 0.248 1
Ag2 0.329 0.631 0.062 1
Cl4 0.041 0.012 0.748 1
Ag3 0.835 0.806 0.921 1
Ag4 0.942 0.570 0.240 1
S1 0.000 0.500 0.000 1
Ag5 0.671 0.369 0.938 1
S2 0.500 0.000 0.500 1
Ag6 0.558 0.070 0.260 1
Ag7 0.665 0.306 0.579 1
Ag8 0.442 0.930 0.740 1
Ag9 0.165 0.194 0.079 1
Ag10 0.058 0.430 0.760 1
Ag11 0.171 0.131 0.438 1
Ag12 0.829 0.869 0.562 1
Te2 0.000 0.500 0.500 1
# * energy relative to the elements, uncorrected: -0.151 eV/atom
# * total magnetization: 0.00 μB/atom
# * SG: P2_1/c
# * energy: -0.109 Ha/atom
# * N(E_F): 0.01 states/eV per atom

6.
# Na4PaTe4, relaxed, DFT PBE
data_Na4PaTe4
_space_group_name_H-M_alt 'P 1'
_space_group_IT_number 1
_cell_length_a 7.593
_cell_length_b 7.593
_cell_length_c 8.665
_cell_angle_alpha 115.98
_cell_angle_beta 115.98
_cell_angle_gamma 90.00
loop_
_space_group_symop_operation_xyz
'x,y,z'
loop_
_atom_site_label
_atom_site_fract_x
_atom_site_fract_y
_atom_site_fract_z
_atom_site_occupancy
Pa1 0.000 0.000 0.000 1
Te1 0.900 0.347 0.247 1
Na1 0.286 0.286 0.572 1
Na2 0.714 0.714 0.428 1
Te2 0.100 0.100 0.753 1
Te3 0.347 0.900 0.247 1
Na3 0.000 0.500 0.000 1
Na4 0.500 0.000 0.000 1
Te4 0.653 0.653 0.753 1
# * energy relative to the elements, uncorrected: -0.772 eV/atom
# * total magnetization: 0.11 μB/atom
# * SG: I-42m
# * energy: -0.140 Ha/atom
# * N(E_F): 0.14 states/eV per atom

7.
# DyYCSe, relaxed, DFT PBE
data_DyYCSe
_space_group_name_H-M_alt 'P 1'
_space_group_IT_number 1
_cell_length_a 3.737
_cell_length_b 3.737
_cell_length_c 7.078
_cell_angle_alpha 90.01
_cell_angle_beta 105.31
_cell_angle_gamma 120.00
loop_
_space_group_symop_operation_xyz
'x,y,z'
loop_
_atom_site_label
_atom_site_fract_x
_atom_site_fract_y
_atom_site_fract_z
_atom_site_occupancy
Y1 0.103 0.949 0.068 1
Dy1 0.503 0.150 0.668 1
Se1 0.968 0.382 0.365 1
C1 0.304 0.550 0.869 1
# * energy relative to the elements, uncorrected: -1.107 eV/atom
# * total magnetization: 0.00 μB/atom
# * SG: R3m
# * energy: -0.259 Ha/atom

8.
# SrReRu3, relaxed, DFT PBE
data_SrReRu3
_space_group_name_H-M_alt 'P 1'
_space_group_IT_number 1
_cell_length_a 4.762
_cell_length_b 4.762
_cell_length_c 4.762
_cell_angle_alpha 90.00
_cell_angle_beta 90.00
_cell_angle_gamma 90.00
loop_
_space_group_symop_operation_xyz
'x,y,z'
loop_
_atom_site_label
_atom_site_fract_x
_atom_site_fract_y
_atom_site_fract_z
_atom_site_occupancy
Ru1 0.000 0.000 0.500 1
Ru2 0.000 0.500 0.000 1
Re1 0.000 0.000 0.000 1
Sr1 0.500 0.500 0.500 1
Ru3 0.500 0.000 0.000 1
# * ΔE to the lowest computed polymorph: 0.0 meV per atom
# * total magnetization: 0.00 μB/atom
# * SG: Pm-3m
# * energy: -0.275 Ha/atom
# * calculated formation energy: 0.916 eV per atom
# * N(E_F): 1.06 states/eV per atom

9.
# Dy2Tm5Sc3, relaxed, DFT PBE
data_Dy2Tm5Sc3
_space_group_name_H-M_alt 'P 1'
_space_group_IT_number 1
_cell_length_a 10.326
_cell_length_b 9.182
_cell_length_c 8.761
_cell_angle_alpha 106.05
_cell_angle_beta 111.67
_cell_angle_gamma 114.83
loop_
_space_group_symop_operation_xyz
'x,y,z'
loop_
_atom_site_label
_atom_site_fract_x
_atom_site_fract_y
_atom_site_fract_z
_atom_site_occupancy
Tm1 0.073 0.404 0.253 1
Sc1 0.196 0.779 0.236 1
Tm2 0.927 0.596 0.747 1
Tm3 0.680 0.849 0.253 1
Dy1 0.955 0.997 0.759 1
Tm4 0.253 0.503 0.006 1
Tm5 0.747 0.497 0.994 1
Tm6 0.499 0.249 0.498 1
Tm7 0.036 0.286 0.572 1
Sc2 0.460 0.543 0.764 1
Sc3 0.804 0.221 0.764 1
Tm8 0.320 0.151 0.747 1
Tm9 0.501 0.751 0.502 1
Sc4 0.275 0.025 0.050 1
Sc5 0.725 0.975 0.950 1
Tm10 0.964 0.714 0.428 1
Sc6 0.540 0.457 0.236 1
Dy2 0.696 0.238 0.241 1
Dy3 0.304 0.762 0.759 1
Dy4 0.045 0.003 0.241 1
# * total magnetization: 0.00 μB/atom
# * SG: C2/c
# * energy: -0.178 Ha/atom
# * calculated formation energy: 0.212 eV per atom
# * N(E_F): 1.72 states/eV per atom

10.
# LiZr2Os2, relaxed, DFT PBE
data_LiZr2Os2
_space_group_name_H-M_alt 'P 1'
_space_group_IT_number 1
_cell_length_a 7.629
_cell_length_b 7.629
_cell_length_c 3.236
_cell_angle_alpha 90.00
_cell_angle_beta 90.00
_cell_angle_gamma 90.00
loop_
_space_group_symop_operation_xyz
'x,y,z'
loop_
_atom_site_label
_atom_site_fract_x
_atom_site_fract_y
_atom_site_fract_z
_atom_site_occupancy
Os1 0.360 0.860 0.000 1
Li1 0.000 0.000 0.000 1
Zr1 0.655 0.845 0.500 1
Os2 0.860 0.640 0.000 1
Os3 0.140 0.360 0.000 1
Zr2 0.345 0.155 0.500 1
Zr3 0.845 0.345 0.500 1
Zr4 0.155 0.655 0.500 1
Os4 0.640 0.140 0.000 1
Li2 0.500 0.500 0.000 1
# * total magnetization: 0.00 μB/atom
# * SG: P4/mbm
# * energy: -0.308 Ha/atom
# * calculated formation energy: -0.090 eV per atom
# * N(E_F): 0.74 states/eV per atom

11.
# KCuMo2, relaxed, DFT PBE
data_KCuMo2
_space_group_name_H-M_alt 'P 1'
_space_group_IT_number 1
_cell_length_a 4.313
_cell_length_b 2.717
_cell_length_c 8.353
_cell_angle_alpha 66.53
_cell_angle_beta 90.00
_cell_angle_gamma 90.00
loop_
_space_group_symop_operation_xyz
'x,y,z'
loop_
_atom_site_label
_atom_site_fract_x
_atom_site_fract_y
_atom_site_fract_z
_atom_site_occupancy
Cu1 0.500 0.250 0.250 1
K1 0.500 0.750 0.750 1
Mo1 0.000 0.478 0.393 1
Mo2 0.000 0.022 0.107 1
# * ΔE to the lowest computed polymorph: 260.9 meV per atom
# * total magnetization: 0.00 μB/atom
# * SG: P2/m
# * energy: -0.212 Ha/atom
# * calculated formation energy: 0.943 eV per atom
# * N(E_F): 0.93 states/eV per atom

12.
# LuNpBi2, relaxed, DFT PBE
data_LuNpBi2
_space_group_name_H-M_alt 'P 1'
_space_group_IT_number 1
_cell_length_a 4.450
_cell_length_b 4.450
_cell_length_c 7.765
_cell_angle_alpha 73.35
_cell_angle_beta 73.35
_cell_angle_gamma 60.00
loop_
_space_group_symop_operation_xyz
'x,y,z'
loop_
_atom_site_label
_atom_site_fract_x
_atom_site_fract_y
_atom_site_fract_z
_atom_site_occupancy
Bi1 0.253 0.253 0.242 1
Bi2 0.747 0.747 0.758 1
Np1 0.500 0.500 0.500 1
Lu1 0.000 0.000 0.000 1
# * ΔE to the lowest computed polymorph: 0.0 meV per atom
# * total magnetization: 1.00 μB/atom
# * SG: R-3m
# * energy: -0.243 Ha/atom
# * calculated formation energy: -0.299 eV per atom
# * N(E_F): 2.87 states/eV per atom

13.
# HgCl3F, relaxed, DFT PBE
data_HgCl3F
_space_group_name_H-M_alt 'P 1'
_space_group_IT_number 1
_cell_length_a 4.743
_cell_length_b 4.743
_cell_length_c 4.743
_cell_angle_alpha 90.00
_cell_angle_beta 90.00
_cell_angle_gamma 90.00
loop_
_space_group_symop_operation_xyz
'x,y,z'
loop_
_atom_site_label
_atom_site_fract_x
_atom_site_fract_y
_atom_site_fract_z
_atom_site_occupancy
Cl1 0.000 0.500 0.000 1
F1 0.000 0.000 0.000 1
Hg1 0.500 0.500 0.500 1
Cl2 0.000 0.000 0.500 1
Cl3 0.500 0.000 0.000 1
# * ΔE to the lowest computed polymorph: 207.9 meV per atom
# * energy relative to the elements, uncorrected: 0.282 eV/atom
# * total magnetization: 0.00 μB/atom
# * SG: Pm-3m
# * energy: -0.046 Ha/atom
# * N(E_F): 0.75 states/eV per atom